VASP calculation (GGA-PBE) on a geometry-optimized Nd8OsRh3I4 structure.

a = 8.355 Å, b = 9.491 Å, c = 8.363 Å
α = 116.21°, β = 119.97°, γ = 90.00°
Element x y z (fractional)
Nd 0.226 0.686 0.960
Nd 0.226 0.686 0.452
Nd 0.272 0.317 0.544
Nd 0.734 0.686 0.960
Nd 0.266 0.314 0.040
Nd 0.728 0.683 0.456
Nd 0.774 0.314 0.548
Nd 0.774 0.314 0.040
Os 0.000 0.500 0.000
Rh 0.500 0.500 0.000
Rh 0.500 0.500 0.500
Rh 0.000 0.500 0.500
I 0.500 0.000 0.000
I 0.500 0.000 0.500
I 0.000 0.000 0.000
I 0.000 0.000 0.500

Spin magnetization ... 0.00 μB per atom
Total DFT energy (no corrections) ... -5.6951 eV per atom
SG ... C2/m (12)
ΔE_f (raw) ... -13.49 eV/f.u.


VASP calculation (GGA-PBE) on a geometry-optimized Re2AsF structure.

a = 4.240 Å, b = 4.240 Å, c = 4.240 Å
α = 60.00°, β = 60.00°, γ = 60.00°
Element x y z (fractional)
Re 0.250 0.250 0.250
Re 0.750 0.750 0.750
As 0.500 0.500 0.500
F 0.000 0.000 0.000

Spin magnetization ... 0.00 μB per atom
Total DFT energy (no corrections) ... -7.4742 eV per atom
SG ... Fm-3m (225)
ΔE_f (raw) ... 1.52 eV/f.u.


VASP calculation (GGA-PBE) on a geometry-optimized Mg4Tl2Cd structure.

a = 5.240 Å, b = 5.240 Å, c = 8.453 Å
α = 108.06°, β = 108.06°, γ = 90.00°
Element x y z (fractional)
Mg 0.817 0.817 0.635
Mg 0.183 0.183 0.365
Mg 0.000 0.500 0.000
Mg 0.500 0.000 0.000
Tl 0.625 0.625 0.249
Tl 0.375 0.375 0.751
Cd 0.000 0.000 0.000

Spin magnetization ... 0.00 μB per atom
Energy of formation from the pure elements ... 0.2273 eV/atom
Total DFT energy (no corrections) ... -1.4907 eV per atom
SG ... I4/mmm (139)


VASP calculation (GGA-PBE) on a geometry-optimized CeScU2P4 structure.

a = 3.920 Å, b = 6.782 Å, c = 6.880 Å
α = 109.16°, β = 90.00°, γ = 90.00°
Last column: magnetic moment on the atom in μB.
Element x y z (fractional)
Ce 0.000 0.000 0.000  0.41
Sc 0.500 0.500 0.000  0.01
U 0.500 0.000 0.500  2.13
U 0.000 0.500 0.500  1.91
P 0.500 0.261 0.253  -0.05
P 0.500 0.739 0.747  -0.05
P 0.000 0.260 0.753  -0.05
P 0.000 0.740 0.247  -0.05

Spin magnetization ... 0.61 μB per atom
Energy of formation from the pure elements ... -1.2066 eV/atom
Total DFT energy (no corrections) ... -8.2668 eV per atom
SG ... P2/m (10)


VASP calculation (GGA-PBE) on a geometry-optimized LiGa5Ni6 structure.

a = 4.064 Å, b = 5.904 Å, c = 6.440 Å
α = 90.00°, β = 71.61°, γ = 90.00°
Element x y z (fractional)
Ni 0.829 0.753 0.342
Ni 0.829 0.247 0.342
Ni 0.500 0.263 0.000
Ni 0.500 0.737 0.000
Ni 0.171 0.753 0.658
Ni 0.171 0.247 0.658
Ga 0.667 0.500 0.666
Ga 0.342 0.000 0.315
Ga 0.000 0.500 0.000
Ga 0.658 0.000 0.685
Ga 0.333 0.500 0.334
Li 0.000 0.000 0.000

Spin magnetization ... 0.00 μB per atom
Energy of formation from the pure elements ... -0.3731 eV/atom
Total DFT energy (no corrections) ... -4.6845 eV per atom
SG ... Cmmm (65)


VASP calculation (GGA-PBE) on a geometry-optimized KNi2Hg structure.

a = 3.198 Å, b = 3.198 Å, c = 7.938 Å
α = 90.00°, β = 90.00°, γ = 90.00°
Element x y z (fractional)
Hg 0.000 0.000 0.435
K 0.500 0.500 0.780
Ni 0.000 0.000 0.096
Ni 0.500 0.500 0.189

Spin magnetization ... 0.01 μB per atom
Energy of formation from the pure elements ... 0.3354 eV/atom
Total DFT energy (no corrections) ... -2.9050 eV per atom
SG ... P4mm (99)


VASP calculation (GGA-PBE) on a geometry-optimized ScSn3H structure.

a = 5.546 Å, b = 5.546 Å, c = 5.546 Å
α = 90.00°, β = 90.00°, γ = 90.00°
Last column: magnetic moment on the atom in μB.
Element x y z (fractional)
Sc 0.000 0.000 0.000  0.07
H 0.500 0.500 0.500  0.34
Sn 0.000 0.500 0.000  0.01
Sn 0.000 0.000 0.500  0.01
Sn 0.500 0.000 0.000  0.04

Spin magnetization ... 0.21 μB per atom
Total DFT energy (no corrections) ... -3.5681 eV per atom
SG ... Pm-3m (221)


VASP calculation (GGA-PBE) on a geometry-optimized HgAsP4 structure.

a = 5.791 Å, b = 5.791 Å, c = 5.791 Å
α = 60.00°, β = 60.00°, γ = 60.00°
Element x y z (fractional)
Hg 0.000 0.000 0.000
As 0.250 0.250 0.250
P 0.654 0.654 0.039
P 0.654 0.039 0.654
P 0.654 0.654 0.654
P 0.039 0.654 0.654

Spin magnetization ... 0.00 μB per atom
Energy of formation from the pure elements ... 0.5975 eV/atom
Total DFT energy (no corrections) ... -3.8343 eV per atom
SG ... F-43m (216)


Q: What is the formula in the first record?
A: Nd8OsRh3I4